Here is crystalline MgSc2Be2 at its relaxed geometry from Alexandria via LeMat-Bulk. Energies are from GGA-PBE.

Its formation energy is 0.278 eV per atom. The relative energy among the computed polymorphs comes out at 291 meV per atom.

It has space group P4/mbm (No. 127), with a = 7.708 Å, b = 7.708 Å, c = 3.006 Å, α = 90.00°, β = 90.00° and γ = 90.00°. The asymmetric unit holds Mg at (0.000, 0.000, 0.000), Sc at (0.133, 0.367, 0.000) and Be at (0.166, 0.666, 0.500).

Here is crystalline MgSc2Be2 at its relaxed geometry from Alexandria via LeMat-Bulk. Energies are from GGA-PBE.

Its formation energy is 0.267 eV per atom. The relative energy among the computed polymorphs comes out at 279 meV per atom.

It has space group I4/mmm (No. 139), with a = 3.032 Å, b = 3.032 Å, c = 19.404 Å, α = 90.00°, β = 90.00° and γ = 90.00°. The asymmetric unit holds Mg at (0.000, 0.000, 0.000), Sc at (0.000, 0.000, 0.374) and Be at (0.000, 0.500, 0.250).